VASP calculation (PBE) on a geometry-optimized CsMnB3 structure.

Calculated values
Raw total energy = -4.805 eV/atom
E above lowest polymorph = 0.000 eV/atom
Space-group type = No. 221
DFT formation energy = 1206 meV/atom

Lattice parameters (Å, degrees): 4.218 4.218 4.218 90.00 90.00 90.00
Fractional positions:
Cs 0.000 0.000 0.000
Mn 0.500 0.500 0.500
B 0.000 0.500 0.500
B 0.500 0.000 0.500
B 0.500 0.500 0.000